[1]
The following is a DFT calculation (PBE) of a geometry-optimized PrHfZr2 structure.

Computed properties:
symmetry	R-3m (166)
DFT formation energy	152	meV/atom
calculated volume	25.34	Å³ per atom
crystal system	trigonal
raw total energy	-7.806	eV per atom

abc: 3.2787 3.2787 11.0512
angles: 81.47 81.47 60.00
Closest atoms and distances in Å follow each position.
Sites, in units of the cell vectors:
Zr (0.2566, 0.2566, 0.2303)  3 Hf 3.14, 6 Zr 3.28, 3 Pr 3.49
Zr (0.7434, 0.7434, 0.7697)  3 Hf 3.14, 6 Zr 3.28, 3 Pr 3.49
Pr (0.5000, 0.5000, 0.5000)  6 Pr 3.28, 6 Zr 3.49
Hf (0.0000, 0.0000, 0.0000)  6 Zr 3.14, 6 Hf 3.28


[2]
The following is a DFT calculation (PBE) of a geometry-optimized TbPr8Tm4 structure.

Computed properties:
symmetry	R-3m (166)
DFT formation energy	190	meV/atom
calculated volume	34.46	Å³ per atom
crystal system	trigonal
raw total energy	-4.483	eV per atom

abc: 7.2712 7.2712 10.6463
angles: 90.00 109.97 120.00
Closest atoms and distances in Å follow each position.
Sites, in units of the cell vectors:
Pr (0.9612, 0.7515, 0.7127)  1 Tb 3.08, 2 Pr 3.33, 1 Tm 3.41
Pr (0.0388, 0.2485, 0.2873)  1 Tb 3.08, 2 Pr 3.33, 1 Tm 3.41
Pr (0.0388, 0.7902, 0.2873)  1 Tb 3.08, 2 Pr 3.33, 1 Tm 3.41
Pr (0.5030, 0.7515, 0.7127)  1 Tb 3.08, 2 Pr 3.33, 1 Tm 3.41
Pr (0.4245, 0.2123, 0.6368)  9 Pr 3.71-3.92, 3 Tm 4.13
Pr (0.5755, 0.7877, 0.3632)  9 Pr 3.71-3.92, 3 Tm 4.13
Pr (0.4970, 0.2485, 0.2873)  1 Tb 3.08, 2 Pr 3.33, 1 Tm 3.41
Pr (0.9612, 0.2098, 0.7127)  1 Tb 3.08, 2 Pr 3.33, 1 Tm 3.41
Tb (0.0000, 0.5000, 0.5000)  6 Pr 3.08
Tm (0.0000, 0.0000, 0.0000)  6 Pr 3.41, 6 Tm 3.64
Tm (0.0000, 0.5000, 0.0000)  4 Pr 3.56, 6 Tm 3.64
Tm (0.5000, 0.0000, 0.0000)  4 Pr 3.56, 6 Tm 3.64
Tm (0.5000, 0.5000, 0.0000)  4 Pr 3.56, 6 Tm 3.64


[3]
The following is a DFT calculation (PBE) of a geometry-optimized Sm6InIr structure.

Computed properties:
symmetry	C2/m (12)
DFT formation energy	-155	meV/atom
calculated volume	33.25	Å³ per atom
crystal system	monoclinic
raw total energy	-5.144	eV per atom

abc: 6.5768 8.0970 6.5710
angles: 51.97 80.71 74.81
Closest atoms and distances in Å follow each position.
Sites, in units of the cell vectors:
Sm (0.2102, 0.8089, 0.6197)  1 Ir 2.73
Sm (0.6481, 0.7831, 0.0000)  1 Ir 2.72
Sm (0.2102, 0.4287, 0.3803)  1 Ir 2.73
Sm (0.3519, 0.2169, 0.0000)  1 Ir 2.72
Sm (0.7898, 0.1911, 0.3803)  1 Ir 2.73
Sm (0.7898, 0.5713, 0.6197)  1 Ir 2.73
Ir (0.5000, 0.5000, 0.0000)  6 Sm 2.72-2.73
In (0.0000, 0.0000, 0.0000)  6 Sm 3.25-3.62


[4]
The following is a DFT calculation (PBE) of a geometry-optimized Li2CoAgH structure.

Computed properties:
symmetry	P4/mmm (123)
calculated volume	11.05	Å³ per atom
crystal system	tetragonal
raw total energy	-3.446	eV per atom

abc: 3.9761 3.9761 3.4946
angles: 90.00 90.00 90.00
Closest atoms and distances in Å follow each position.
Sites, in units of the cell vectors:
Co (0.0000, 0.0000, 0.5000)  2 H 1.75
H (0.0000, 0.0000, 0.0000)  2 Co 1.75
Li (0.5000, 0.0000, 0.0000)  2 H 1.99
Li (0.0000, 0.5000, 0.0000)  2 H 1.99
Ag (0.5000, 0.5000, 0.5000)  8 Li 2.65, 4 Co 2.81


What is the calculated volume in the second record?
34.46 Å³ per atom


calculated volume of number 4 (Li2CoAgH)?
11.05 Å³ per atom


Which of these has the highest raw total energy?
Li2CoAgH